Computed, not measured: a relaxed TmHfV2O6 crystal at the PBE+U level of DFT.

a b c (Å): 5.385 5.372 5.769
angles (deg): 62.11 62.53 60.21
Element x y z (fractional)
V (0.014, 0.017, 0.956)
O (0.217, 0.929, 0.234)
O (0.930, 0.615, 0.236)
O (0.135, 0.385, 0.756)
Tm (0.808, 0.807, 0.577)
O (0.617, 0.219, 0.235)
Hf (0.313, 0.317, 0.058)
O (0.725, 0.127, 0.760)
V (0.516, 0.520, 0.447)
O (0.388, 0.725, 0.756)

Properties
* theoretical density: 7.4 Mg/m³
* M_tot: 5.0 Bohr magnetons per cell
* E: -87.3 eV/cell